! Ba3GeBr2 (PBE, optimized geometry); values from VASP
&SYSTEM
  ibrav = 0, nat = 12, ntyp = 3
/
ATOMIC_SPECIES
Ba 137.33 Ba.upf
Ge 72.64 Ge.upf
Br 79.90 Br.upf
ATOMIC_POSITIONS crystal
Ba 0.500 0.000 0.500
Ba 0.502 0.647 0.795
Ba 0.498 0.353 0.205
Ba 0.002 0.795 0.647
Ba 0.000 0.500 0.000
Ba 0.998 0.205 0.353
Ge 0.250 0.591 0.409
Ge 0.750 0.409 0.591
Br 0.250 0.918 0.082
Br 0.250 0.245 0.755
Br 0.750 0.082 0.918
Br 0.750 0.755 0.245
CELL_PARAMETERS angstrom
8.383 0.200 0.345
-1.661 8.224 -0.242
-1.661 -4.287 7.022
! Space-group type   No. 15
! Total magnetization   0.00 μB per atom
! ΔE_f (raw)   -1.38 eV/atom